# 1
UCdPt2 after structural relaxation, computed with GGA-PBE.

```
UCdPt2
1.0
3.9196 0.0000 0.0000
-1.9598 3.3945 0.0000
0.0000 0.0000 20.1634
U Cd Pt
3 3 6
direct
0.0000 0.0000 0.0000
0.3333 0.6667 0.6667
0.6667 0.3333 0.3333
0.0000 0.0000 0.8305
0.3333 0.6667 0.4972
0.6667 0.3333 0.1639
0.0000 0.0000 0.4132
0.0000 0.0000 0.5855
0.3333 0.6667 0.0799
0.3333 0.6667 0.2522
0.6667 0.3333 0.7466
0.6667 0.3333 0.9188
```

Values from the calculation:
formation enthalpy at 0 K: -424 meV/atom

# 2
U2CdPt9 after structural relaxation, computed with GGA-PBE.

```
U2CdPt9
1.0
4.1381 0.0000 0.0000
0.0000 4.1381 0.0000
0.0000 0.0000 12.2228
U Cd Pt
2 1 9
direct
0.0000 0.0000 0.1729
0.0000 0.0000 0.8271
0.0000 0.0000 0.5000
0.0000 0.5000 0.0000
0.0000 0.5000 0.3323
0.0000 0.5000 0.6677
0.5000 0.0000 0.0000
0.5000 0.0000 0.3323
0.5000 0.0000 0.6677
0.5000 0.5000 0.1680
0.5000 0.5000 0.5000
0.5000 0.5000 0.8320
```

Values from the calculation:
formation enthalpy at 0 K: -613 meV/atom

# 3
UCdPt6 after structural relaxation, computed with GGA-PBE.

```
UCdPt6
1.0
4.7470 0.0000 0.0000
0.0000 5.7811 0.0000
0.0000 0.0000 10.0108
U Cd Pt
2 2 12
direct
0.0000 0.0000 0.0000
0.0000 0.5000 0.5000
0.5000 0.0000 0.3332
0.5000 0.5000 0.8332
0.0000 0.0000 0.5027
0.0000 0.2453 0.7480
0.0000 0.2547 0.2480
0.0000 0.5000 0.0027
0.0000 0.7453 0.2480
0.0000 0.7547 0.7480
0.5000 0.0000 0.8336
0.5000 0.2477 0.5839
0.5000 0.2523 0.0839
0.5000 0.5000 0.3336
0.5000 0.7477 0.0839
0.5000 0.7523 0.5839
```

Values from the calculation:
energy relative to the lowest polymorph listed for this composition: 59 meV per atom
formation enthalpy at 0 K: -501 meV/atom

# 4
VCd2Pt9 after structural relaxation, computed with GGA-PBE.

```
VCd2Pt9
1.0
3.9860 0.0000 0.0000
0.0000 3.9860 0.0000
0.0000 0.0000 12.0523
V Cd Pt
1 2 9
direct
0.0000 0.0000 0.0000
0.0000 0.0000 0.3304
0.0000 0.0000 0.6696
0.0000 0.5000 0.1540
0.0000 0.5000 0.5000
0.0000 0.5000 0.8460
0.5000 0.0000 0.1540
0.5000 0.0000 0.5000
0.5000 0.0000 0.8460
0.5000 0.5000 0.0000
0.5000 0.5000 0.3276
0.5000 0.5000 0.6724
```

Values from the calculation:
formation enthalpy at 0 K: -319 meV/atom